(1)
A relaxed structure of In5Ni. Source: Alexandria via LeMat-Bulk, functional PBE-GGA.

Computed properties:
energy of formation from the pure elements	0.017	eV per atom

Unit cell a=3.179 b=3.179 c=13.910 alpha=90.00 beta=90.00 gamma=90.00
Fractional positions:
In 0.000 0.000 0.116
In 0.000 0.000 0.884
In 0.000 0.000 0.500
In 0.500 0.500 0.694
In 0.500 0.500 0.306
Ni 0.500 0.500 0.000


(2)
A relaxed structure of InNi4. Source: Alexandria via LeMat-Bulk, functional PBE-GGA.

Computed properties:
energy of formation from the pure elements	0.038	eV per atom

Unit cell a=3.020 b=3.020 c=7.322 alpha=78.08 beta=78.08 gamma=89.90
Site moments in Bohr magnetons follow the coordinates.
Fractional positions:
In 0.000 0.000 0.000  -0.01
Ni 0.207 0.207 0.586  0.57
Ni 0.793 0.793 0.414  0.57
Ni 0.384 0.384 0.232  0.16
Ni 0.616 0.616 0.768  0.16


(3)
A relaxed structure of In9Ni13. Source: Alexandria via LeMat-Bulk, functional PBE-GGA.

Computed properties:
energy of formation from the pure elements	-0.114	eV per atom

Unit cell a=6.752 b=6.752 c=8.552 alpha=72.00 beta=71.99 gamma=102.58
Fractional positions:
Ni 0.000 0.500 0.000
Ni 0.546 0.277 0.176
In 0.825 0.059 0.117
Ni 0.500 0.000 0.000
Ni 0.739 0.740 0.520
Ni 0.063 0.795 0.659
Ni 0.736 0.736 0.000
Ni 0.000 0.500 0.500
Ni 0.264 0.264 0.000
Ni 0.454 0.723 0.824
Ni 0.546 0.278 0.659
Ni 0.454 0.722 0.341
In 0.830 0.059 0.691
In 0.170 0.941 0.309
In 0.710 0.456 0.834
In 0.750 0.521 0.309
In 0.175 0.941 0.883
In 0.290 0.544 0.166
Ni 0.261 0.260 0.480
Ni 0.937 0.205 0.341
In 0.500 0.000 0.500
In 0.250 0.479 0.691


(4)
A relaxed structure of In4Ni. Source: Alexandria via LeMat-Bulk, functional PBE-GGA.

Computed properties:
energy of formation from the pure elements	0.006	eV per atom
relative energy among the computed polymorphs	1	meV/atom

Unit cell a=5.380 b=5.380 c=5.380 alpha=109.47 beta=109.47 gamma=109.47
Fractional positions:
In 0.500 0.500 0.500
In 0.500 0.000 0.000
In 0.000 0.000 0.500
In 0.000 0.500 0.000
Ni 0.000 0.000 0.000


(5)
A relaxed structure of InNi2. Source: Alexandria via LeMat-Bulk, functional PBE-GGA.

Computed properties:
energy of formation from the pure elements	-0.036	eV per atom

Unit cell a=6.150 b=6.150 c=3.977 alpha=90.00 beta=90.00 gamma=146.03
Fractional positions:
Ni 0.590 0.410 0.750
Ni 0.410 0.590 0.250
In 0.095 0.905 0.250
In 0.905 0.095 0.750
Ni 0.753 0.247 0.250
Ni 0.247 0.753 0.750


(6)
A relaxed structure of In2Ni. Source: Alexandria via LeMat-Bulk, functional PBE-GGA.

Computed properties:
energy of formation from the pure elements	-0.073	eV per atom

Unit cell a=4.474 b=4.474 c=3.033 alpha=90.00 beta=90.00 gamma=90.00
Fractional positions:
In 0.500 0.000 0.500
Ni 0.000 0.000 0.000
In 0.000 0.500 0.500


We obtain D(E_F) values of 3.7 5.1 12.0 3.3 2.8 1.2 states/eV/f.u. for the records listed above, in that order.
We obtain total magnetic moment values of 0.00 1.39 0.00 0.00 0.00 0.00 μB per formula unit for the records listed above, in that order.
We obtain calculated volume values of 140.6 63.9 330.7 119.9 84.1 60.7 Å³/cell for the records listed above, in that order.